# 1
This record from Alexandria via LeMat-Bulk describes a geometry-optimized Cu2RePtW structure. The functional is PBE-GGA.

Values from the calculation:
E_form, eV/atom: 1.853

a = 4.5424 Å, b = 4.5424 Å, c = 4.7815 Å
α = 90.00°, β = 90.00°, γ = 90.00°
With the nearest neighbours (Å) after each atom.
Fractional coordinates of all 5 atoms:
Cu  0.0000  0.5000  0.0000  2 Pt 2.27
Cu  0.5000  0.0000  0.0000  2 Pt 2.27
Re  0.0000  0.0000  0.5000  4 W 3.21, 8 Cu 3.30
Pt  0.5000  0.5000  0.0000  4 Cu 2.27, 2 W 2.39
W  0.5000  0.5000  0.5000  2 Pt 2.39

=====

# 2
This record from Alexandria via LeMat-Bulk describes a geometry-optimized Cu3Pt6Rh2 structure. The functional is PBE-GGA.

Values from the calculation:
E_form, eV/atom: 0.000

a = 4.6916 Å, b = 5.4140 Å, c = 7.1506 Å
α = 77.84°, β = 71.81°, γ = 89.12°
With the nearest neighbours (Å) after each atom.
Fractional coordinates of all 11 atoms:
Cu  0.0000  0.0000  0.0000  6 Pt 2.65-2.73, 2 Rh 2.67, 2 Cu 2.72
Cu  0.3302  0.8261  0.6713  6 Pt 2.63-2.75, 3 Rh 2.69-2.75, 2 Cu 2.72-2.79
Cu  0.6698  0.1739  0.3287  6 Pt 2.63-2.75, 3 Rh 2.69-2.75, 2 Cu 2.72-2.79
Pt  0.1623  0.4169  0.3282  2 Cu 2.68-2.70, 6 Pt 2.68-2.79, 3 Rh 2.69-2.73
Pt  0.3307  0.3205  0.6727  4 Cu 2.65-2.75, 2 Rh 2.68-2.70, 5 Pt 2.68-2.83
Pt  0.4972  0.2494  0.0052  3 Cu 2.63-2.73, 2 Rh 2.67-2.77, 5 Pt 2.68-2.72
Pt  0.5028  0.7506  0.9948  3 Cu 2.63-2.73, 2 Rh 2.67-2.77, 5 Pt 2.68-2.72
Pt  0.6693  0.6795  0.3273  4 Cu 2.65-2.75, 2 Rh 2.68-2.70, 5 Pt 2.68-2.83
Pt  0.8377  0.5831  0.6718  2 Cu 2.68-2.70, 6 Pt 2.68-2.79, 3 Rh 2.69-2.73
Rh  0.1646  0.9197  0.3328  4 Cu 2.67-2.75, 7 Pt 2.67-2.77, 1 Rh 2.72
Rh  0.8354  0.0803  0.6672  4 Cu 2.67-2.75, 7 Pt 2.67-2.77, 1 Rh 2.72